The following is a DFT calculation (PBE+U) of a geometry-optimized KTbFeO3 structure.

The space group is P2_1/m (No. 11) and the conventional cell measures 7.588, 3.569 and 8.379 Å, with angles of 90.00, 105.27 and 90.00 degrees. The asymmetric unit holds K at (0.190, 0.250, 0.195), Tb at (0.345, 0.750, 0.853), Fe at (0.089, 0.250, 0.610), O at (0.140, 0.250, 0.851), O at (0.182, 0.750, 0.547) and O at (0.458, 0.750, 0.128).

The total energy is -6.528 eV per atom. As for the crystal system: monoclinic. As for the size of the total moment: 4.0 μB per formula unit.